An optimized crystal structure of Rb2ZrTiS4, computed with GGA-PBE.

- raw formation energy (eV per atom) = -1.23
- VASP energy (eV/cell) = -44.7
- symmetry = I-4, No. 82
- magnetization (μB/cell) = 2.0

Structure (POSCAR):
```
Rb2ZrTiS4
1.0
-3.665 3.665 4.693
3.665 -3.665 4.693
3.665 3.665 -4.693
Rb Zr Ti S
2 1 1 4
direct
0.000 0.000 0.000 Rb
0.750 0.250 0.500 Rb
0.500 0.500 0.000 Zr
0.250 0.750 0.500 Ti
0.221 0.612 0.102 S
0.388 0.490 0.609 S
0.510 0.119 0.898 S
0.881 0.779 0.391 S
```

***

An optimized crystal structure of NaAs2PBr, computed with GGA-PBE.

- raw formation energy (eV per atom) = 1.18
- VASP energy (eV/cell) = -11.8
- symmetry = P4/mmm, No. 123
- magnetization (μB/cell) = 0.4
- E above lowest polymorph (eV/f.u.) = 5.419

Structure (POSCAR):
```
NaAs2PBr
1.0
5.177 0.000 0.000
0.000 5.177 0.000
0.000 0.000 4.903
Na As P Br
1 2 1 1
direct
0.000 0.000 0.000 Na
0.000 0.500 0.000 As
0.500 0.000 0.000 As
0.500 0.500 0.500 P
0.000 0.000 0.500 Br
```

***

An optimized crystal structure of PrErPd2, computed with GGA-PBE.

- VASP energy (eV/cell) = -22.9
- symmetry = Fm-3m, No. 225
- magnetization (μB/cell) = 0.0
- E above lowest polymorph (eV/f.u.) = 0.222
- ΔH_f (0 K) (meV per atom) = -793.2

Structure (POSCAR):
```
PrErPd2
1.0
0.000 3.572 3.572
3.572 0.000 3.572
3.572 3.572 0.000
Pr Er Pd
1 1 2
direct
0.000 0.000 0.000 Pr
0.500 0.500 0.500 Er
0.250 0.250 0.250 Pd
0.750 0.750 0.750 Pd
```

***

An optimized crystal structure of LuScTcPd, computed with GGA-PBE.

- VASP energy (eV/cell) = -28.4
- symmetry = F-43m, No. 216
- magnetization (μB/cell) = 0.0
- ΔH_f (0 K) (meV per atom) = -506.9

Structure (POSCAR):
```
LuScTcPd
1.0
0.000 3.321 3.321
3.321 0.000 3.321
3.321 3.321 0.000
Lu Sc Tc Pd
1 1 1 1
direct
0.000 0.000 0.000 Lu
0.500 0.500 0.500 Sc
0.250 0.250 0.250 Tc
0.750 0.750 0.750 Pd
```

***

An optimized crystal structure of La2Ho3In4, computed with GGA-PBE.

- VASP energy (eV/cell) = -75.1
- symmetry = Cmce, No. 64
- magnetization (μB/cell) = 0.0
- ΔH_f (0 K) (meV per atom) = -334.4

Structure (POSCAR):
```
La2Ho3In4
1.0
3.544 -8.553 0.000
3.544 8.553 0.000
0.000 0.000 9.049
La Ho In
4 6 8
direct
0.108 0.892 0.921 La
0.392 0.608 0.421 La
0.608 0.392 0.579 La
0.892 0.108 0.079 La
0.000 0.000 0.500 Ho
0.029 0.471 0.750 Ho
0.471 0.029 0.250 Ho
0.500 0.500 0.000 Ho
0.529 0.971 0.750 Ho
0.971 0.529 0.250 Ho
0.180 0.820 0.539 In
0.208 0.292 0.750 In
0.292 0.208 0.250 In
0.320 0.680 0.039 In
0.680 0.320 0.961 In
0.708 0.792 0.750 In
0.792 0.708 0.250 In
0.820 0.180 0.461 In
```

***

An optimized crystal structure of ZrAg2Pd2, computed with GGA-PBE.

- VASP energy (eV/cell) = -50.7
- symmetry = P4/mbm, No. 127
- magnetization (μB/cell) = 0.0
- E above lowest polymorph (eV/f.u.) = 0.000
- ΔH_f (0 K) (meV per atom) = -145.8

Structure (POSCAR):
```
ZrAg2Pd2
1.0
7.121 0.000 0.000
0.000 7.121 0.000
0.000 0.000 3.614
Zr Ag Pd
2 4 4
direct
0.000 0.000 0.000 Zr
0.500 0.500 0.000 Zr
0.157 0.343 0.500 Ag
0.343 0.843 0.500 Ag
0.657 0.157 0.500 Ag
0.843 0.657 0.500 Ag
0.139 0.639 0.000 Pd
0.361 0.139 0.000 Pd
0.639 0.861 0.000 Pd
0.861 0.361 0.000 Pd
```

***

An optimized crystal structure of PbSe2Cl, computed with GGA-PBE.

- raw formation energy (eV per atom) = -0.42
- VASP energy (eV/cell) = -14.2
- symmetry = P2/m, No. 10
- magnetization (μB/cell) = 0.0
- E above lowest polymorph (eV/f.u.) = 0.000

Structure (POSCAR):
```
PbSe2Cl
1.0
4.412 0.000 0.000
0.000 5.780 0.000
-1.160 0.000 4.769
Pb Se Cl
1 2 1
direct
0.000 0.000 0.000 Pb
0.206 0.500 0.871 Se
0.794 0.500 0.129 Se
0.500 0.000 0.500 Cl
```

***

An optimized crystal structure of Sm5Mg4Al, computed with GGA-PBE.

- VASP energy (eV/cell) = -35.3
- symmetry = P4/mmm, No. 123
- magnetization (μB/cell) = 0.0
- ΔH_f (0 K) (meV per atom) = -156.1

Structure (POSCAR):
```
Sm5Mg4Al
1.0
3.787 0.000 0.000
0.000 3.787 0.000
0.000 0.000 19.362
Sm Mg Al
5 4 1
direct
0.000 0.000 0.000 Sm
0.000 0.000 0.204 Sm
0.000 0.000 0.409 Sm
0.000 0.000 0.591 Sm
0.000 0.000 0.796 Sm
0.500 0.500 0.102 Mg
0.500 0.500 0.305 Mg
0.500 0.500 0.695 Mg
0.500 0.500 0.898 Mg
0.500 0.500 0.500 Al
```

***

An optimized crystal structure of Ga2CBr, computed with GGA-PBE.

- raw formation energy (eV per atom) = 1.34
- VASP energy (eV/cell) = -11.6
- symmetry = Fm-3m, No. 225
- magnetization (μB/cell) = 0.0
- E above lowest polymorph (eV/f.u.) = 4.173

Structure (POSCAR):
```
Ga2CBr
1.0
0.000 3.316 3.316
3.316 0.000 3.316
3.316 3.316 0.000
Ga C Br
2 1 1
direct
0.250 0.250 0.250 Ga
0.750 0.750 0.750 Ga
0.000 0.000 0.000 C
0.500 0.500 0.500 Br
```

***

An optimized crystal structure of Ce3GaAu2, computed with GGA-PBE.

- VASP energy (eV/cell) = -30.7
- symmetry = P4/mmm, No. 123
- magnetization (μB/cell) = 3.1
- ΔH_f (0 K) (meV per atom) = -547.1

Structure (POSCAR):
```
Ce3GaAu2
1.0
3.773 0.000 0.000
0.000 3.773 0.000
0.000 0.000 10.401
Ce Ga Au
3 1 2
direct
0.000 0.000 0.000 Ce
0.000 0.000 0.343 Ce
0.000 0.000 0.657 Ce
0.500 0.500 0.500 Ga
0.500 0.500 0.177 Au
0.500 0.500 0.823 Au
```

***

An optimized crystal structure of Pm2Si2Pd3, computed with GGA-PBE.

- raw formation energy (eV per atom) = -0.88
- VASP energy (eV/cell) = -42.1
- symmetry = C2/m, No. 12
- magnetization (μB/cell) = 0.0
- E above lowest polymorph (eV/f.u.) = 0.000

Structure (POSCAR):
```
Pm2Si2Pd3
1.0
5.274 -1.981 0.000
5.274 1.981 0.000
-2.985 0.000 6.433
Pm Si Pd
2 2 3
direct
0.134 0.134 0.271 Pm
0.866 0.866 0.729 Pm
0.151 0.151 0.724 Si
0.849 0.849 0.276 Si
0.368 0.368 0.067 Pd
0.500 0.500 0.500 Pd
0.632 0.632 0.933 Pd
```

***

An optimized crystal structure of Mg2AlGeC, computed with GGA-PBE.

- VASP energy (eV/cell) = -20.4
- symmetry = P4/mmm, No. 123
- magnetization (μB/cell) = 0.0
- ΔH_f (0 K) (meV per atom) = 65.5

Structure (POSCAR):
```
Mg2AlGeC
1.0
4.486 0.000 0.000
0.000 4.486 0.000
0.000 0.000 3.889
Mg Al Ge C
2 1 1 1
direct
0.000 0.500 0.000 Mg
0.500 0.000 0.000 Mg
0.000 0.000 0.500 Al
0.500 0.500 0.500 Ge
0.000 0.000 0.000 C
```

***

> Look up the magnetization of the fourth one.

0.0 μB/cell

***

Please write out number 1 again, unchanged.
An optimized crystal structure of Rb2ZrTiS4, computed with GGA-PBE.

- raw formation energy (eV per atom) = -1.23
- VASP energy (eV/cell) = -44.7
- symmetry = I-4, No. 82
- magnetization (μB/cell) = 2.0

Structure (POSCAR):
```
Rb2ZrTiS4
1.0
-3.665 3.665 4.693
3.665 -3.665 4.693
3.665 3.665 -4.693
Rb Zr Ti S
2 1 1 4
direct
0.000 0.000 0.000 Rb
0.750 0.250 0.500 Rb
0.500 0.500 0.000 Zr
0.250 0.750 0.500 Ti
0.221 0.612 0.102 S
0.388 0.490 0.609 S
0.510 0.119 0.898 S
0.881 0.779 0.391 S
```

***

> What is the formula in the sixth record?

ZrAg2Pd2